A relaxed LaThNi2 crystal. Source: Alexandria, functional PBE.

## Properties
Fermi-level density of states = 3.89 states/eV/f.u.
energy of formation = -0.37 eV/atom
total energy = -25.400 eV per formula unit

abc: 3.7366 4.2816 5.9141
angles: 90.00 108.25 90.00
Closest atoms and distances in Å follow each position.
Space group Pm (No. 6)
Unique sites:
La 0.0000 0.0000 0.0000 [1 per cell]  7 Ni 2.94-3.15
Th 0.2621 0.5000 0.5296 [1 per cell]  6 Ni 2.88-2.89
Ni 0.5672 0.5000 0.1365 [1 per cell]  2 Ni 2.77, 2 Th 2.89, 4 La 2.94
Ni 0.7228 0.0000 0.4505 [1 per cell]  2 Ni 2.77, 4 Th 2.88, 1 La 3.09

---

A relaxed LaThNi2 crystal. Source: Alexandria, functional PBE.

## Properties
Fermi-level density of states = 3.32 states/eV/f.u.
energy of formation = -0.28 eV/atom
total energy = -25.026 eV per formula unit

abc: 4.6543 4.6543 14.5978
angles: 90.00 90.00 120.00
Closest atoms and distances in Å follow each position.
Space group R-3m (No. 166, hexagonal axes)
Unique sites:
La 0.0000 0.0000 0.0000 [3 per cell]  8 Ni 3.14-3.19
Th 0.0000 0.0000 0.5000 [3 per cell]  6 Ni 2.78
Ni 0.0000 0.0000 0.2154 [6 per cell]  3 Th 2.78, 3 Ni 3.04

---

A relaxed LaThNi2 crystal. Source: Alexandria, functional PBE.

## Properties
Fermi-level density of states = 2.50 states/eV/f.u.
energy of formation = -0.23 eV/atom
total energy = -24.825 eV per formula unit

abc: 3.9833 3.9833 20.9014
angles: 90.00 90.00 120.00
Closest atoms and distances in Å follow each position.
Space group R3m (No. 160, hexagonal axes)
Unique sites:
La 0.0000 0.0000 0.0000 [3 per cell]  6 Ni 2.89-2.99
Th 0.0000 0.0000 0.8279 [3 per cell]  6 Ni 2.81-2.86
Ni 0.0000 0.0000 0.2422 [3 per cell]  3 Th 2.86, 3 La 2.99
Ni 0.0000 0.0000 0.4173 [3 per cell]  3 Th 2.81, 3 La 2.89

---

A relaxed LaTh2Ni crystal. Source: Alexandria, functional PBE.

## Properties
Fermi-level density of states = 6.28 states/eV/f.u.
energy of formation = -0.10 eV/atom
total energy = -25.947 eV per formula unit

abc: 3.5867 3.5867 8.5441
angles: 90.00 90.00 90.00
Closest atoms and distances in Å follow each position.
Space group P4/mmm (No. 123)
Unique sites:
La 0.0000 0.0000 0.0000 [1 per cell]  4 La 3.59, 8 Th 3.67
Th 0.5000 0.5000 0.3098 [2 per cell]  4 Ni 3.01, 1 Th 3.25
Ni 0.0000 0.0000 0.5000 [1 per cell]  8 Th 3.01

---

A relaxed LaTh2Ni crystal. Source: Alexandria, functional PBE.

## Properties
Fermi-level density of states = 5.37 states/eV/f.u.
energy of formation = -0.18 eV/atom
total energy = -26.279 eV per formula unit

abc: 7.1009 9.9638 6.3557
angles: 90.00 90.00 90.00
Closest atoms and distances in Å follow each position.
Space group Pnma (No. 62)
Unique sites:
La 0.0480 0.2500 0.1530 [4 per cell]  2 Ni 3.03-3.15
Th 0.1842 0.0645 0.6484 [8 per cell]  2 Ni 2.75-2.81
Ni 0.1017 0.7500 0.3807 [4 per cell]  4 Th 2.75-2.81, 1 La 3.03

---

A relaxed LaTh2Ni6 crystal. Source: Alexandria, functional PBE.

## Properties
Fermi-level density of states = 6.47 states/eV/f.u.
energy of formation = -0.24 eV/atom
total energy = -56.583 eV per formula unit

abc: 3.6741 7.0871 13.0539
angles: 90.00 90.00 90.00
Closest atoms and distances in Å follow each position.
Space group Immm (No. 71)
Unique sites:
La 0.0000 0.0000 0.0000 [2 per cell]  12 Ni 2.93-3.25
Th 0.0000 0.5000 0.1464 [4 per cell]  10 Ni 2.71-2.93
Ni 0.0000 0.1774 0.5000 [4 per cell]  3 Ni 2.46-2.51
Ni 0.0000 0.3029 0.3243 [8 per cell]  1 Ni 2.46, 1 Th 2.71

---

A relaxed LaTi3Ni crystal. Source: Alexandria, functional PBE.

## Properties
Fermi-level density of states = 14.50 states/eV/f.u.
energy of formation = 1.51 eV/atom
total energy = -26.863 eV per formula unit

abc: 4.7323 4.7323 4.7323
angles: 90.00 90.00 90.00
Closest atoms and distances in Å follow each position.
Space group Pm-3m (No. 221)
Unique sites:
La 0.0000 0.0000 0.0000 [1 per cell]  6 Ti 2.37
Ti 0.0000 0.0000 0.5000 [3 per cell]  2 La 2.37
Ni 0.5000 0.5000 0.5000 [1 per cell]  12 Ti 3.35

---

A relaxed La2TiNi crystal. Source: Alexandria, functional PBE.

## Properties
Fermi-level density of states = 11.56 states/eV/f.u.
energy of formation = 0.28 eV/atom
total energy = -22.429 eV per formula unit

abc: 7.2728 7.2728 7.2728
angles: 90.00 90.00 90.00
Closest atoms and distances in Å follow each position.
Space group Fm-3m (No. 225)
Unique sites:
La 0.2500 0.2500 0.2500 [8 per cell]  4 Ni 3.15, 4 Ti 3.15
Ti 0.0000 0.0000 0.0000 [4 per cell]  8 La 3.15
Ni 0.0000 0.0000 0.5000 [4 per cell]  8 La 3.15

---

A relaxed LaTiNi3 crystal. Source: Alexandria, functional PBE.

## Properties
Fermi-level density of states = 3.11 states/eV/f.u.
energy of formation = 0.11 eV/atom
total energy = -29.594 eV per formula unit

abc: 4.5479 4.5479 4.5479
angles: 90.00 90.00 90.00
Closest atoms and distances in Å follow each position.
Space group Pm-3m (No. 221)
Unique sites:
La 0.0000 0.0000 0.0000 [1 per cell]  12 Ni 3.22
Ti 0.5000 0.5000 0.5000 [1 per cell]  6 Ni 2.27
Ni 0.0000 0.5000 0.5000 [3 per cell]  2 Ti 2.27

---

A relaxed LaTi2Ni crystal. Source: Alexandria, functional PBE.

## Properties
Fermi-level density of states = 7.67 states/eV/f.u.
energy of formation = 0.53 eV/atom
total energy = -24.398 eV per formula unit

abc: 4.7125 4.7125 17.3407
angles: 90.00 90.00 90.00
Closest atoms and distances in Å follow each position.
Space group I4_1/amd (No. 141, origin choice 2)
Unique sites:
La 0.0000 0.2500 0.3750 [4 per cell]  4 Ni 3.33, 8 Ti 3.41
Ti 0.0000 0.0000 0.0000 [8 per cell]  2 Ti 2.36, 2 Ni 2.47
Ni 0.0000 0.2500 0.8750 [4 per cell]  4 Ti 2.47

---

A relaxed La2Ti2Ni15 crystal. Source: Alexandria, functional PBE.

## Properties
Fermi-level density of states = 26.23 states/eV/f.u.
energy of formation = -0.28 eV/atom
total energy = -117.778 eV per formula unit

abc: 8.4343 8.4343 12.4846
angles: 90.00 90.00 120.00
Closest atoms and distances in Å follow each position.
Space group R-3m (No. 166, hexagonal axes)
Unique sites:
La 0.0000 0.0000 0.1501 [6 per cell]  18 Ni 3.00-3.34, 1 Ti 3.11
Ti 0.0000 0.0000 0.3993 [6 per cell]  1 Ti 2.51, 12 Ni 2.57-2.77
Ni 0.0000 0.2929 0.5000 [18 per cell]  8 Ni 2.44-2.62
Ni 0.0000 0.5000 0.0000 [9 per cell]  8 Ni 2.42-2.44, 2 Ti 2.57
Ni 0.0057 0.5029 0.3436 [18 per cell]  8 Ni 2.42-2.62, 1 Ti 2.58

---

A relaxed LaTi2Ni crystal. Source: Alexandria, functional PBE.

## Properties
Fermi-level density of states = 6.62 states/eV/f.u.
energy of formation = 0.23 eV/atom
total energy = -25.583 eV per formula unit

abc: 6.5355 6.5355 6.5355
angles: 90.00 90.00 90.00
Closest atoms and distances in Å follow each position.
Space group Fm-3m (No. 225)
Unique sites:
La 0.0000 0.0000 0.0000 [4 per cell]  8 Ti 2.83
Ti 0.2500 0.2500 0.2500 [8 per cell]  4 La 2.83, 4 Ni 2.83
Ni 0.0000 0.0000 0.5000 [4 per cell]  8 Ti 2.83